(1)
Here is a relaxed structure of Hg12Sb5As3 from the Alexandria database. Energies are from PBE.

abc: 14.578 14.578 14.578
angles: 109.47 109.47 109.47
Fractional coordinates of all 80 atoms:
Hg 0.628 0.063 0.239
Hg 0.324 0.761 0.388
Hg 0.388 0.128 0.564
Hg 0.872 0.261 0.437
Hg 0.676 0.437 0.564
Hg 0.872 0.612 0.936
Hg 0.937 0.372 0.261
Hg 0.064 0.176 0.437
Hg 0.564 0.628 0.388
Hg 0.936 0.112 0.872
Hg 0.063 0.628 0.739
Hg 0.324 0.563 0.436
Hg 0.239 0.563 0.628
Hg 0.739 0.612 0.176
Hg 0.063 0.436 0.824
Hg 0.436 0.372 0.612
Hg 0.128 0.388 0.064
Hg 0.112 0.936 0.372
Hg 0.128 0.739 0.563
Hg 0.563 0.239 0.128
Hg 0.564 0.937 0.676
Hg 0.888 0.824 0.761
Hg 0.612 0.872 0.436
Hg 0.937 0.564 0.176
Hg 0.612 0.739 0.676
Hg 0.261 0.872 0.937
Hg 0.628 0.564 0.888
Hg 0.372 0.436 0.112
Hg 0.563 0.324 0.936
Hg 0.824 0.936 0.063
Hg 0.176 0.112 0.739
Hg 0.436 0.063 0.324
Hg 0.372 0.937 0.761
Hg 0.761 0.324 0.888
Hg 0.239 0.676 0.112
Hg 0.176 0.064 0.937
Hg 0.261 0.388 0.824
Hg 0.676 0.239 0.612
Hg 0.437 0.761 0.872
Hg 0.888 0.064 0.628
Hg 0.824 0.888 0.261
Hg 0.388 0.261 0.324
Hg 0.064 0.888 0.128
Hg 0.112 0.176 0.239
Hg 0.936 0.824 0.563
Hg 0.739 0.128 0.063
Hg 0.437 0.676 0.064
Hg 0.761 0.437 0.372
Sb 0.250 0.375 0.625
Sb 0.000 0.000 0.500
Sb 0.000 0.500 0.500
Sb 0.125 0.750 0.375
Sb 0.125 0.375 0.250
Sb 0.000 0.000 0.000
Sb 0.375 0.125 0.750
Sb 0.625 0.750 0.875
Sb 0.250 0.875 0.125
Sb 0.500 0.500 0.500
Sb 0.500 0.000 0.000
Sb 0.750 0.125 0.875
Sb 0.375 0.250 0.125
Sb 0.500 0.500 0.000
Sb 0.625 0.875 0.250
Sb 0.875 0.250 0.625
Sb 0.875 0.625 0.750
Sb 0.750 0.625 0.375
Sb 0.000 0.500 0.000
Sb 0.500 0.000 0.500
As 0.250 0.125 0.375
As 0.625 0.250 0.375
As 0.625 0.375 0.750
As 0.250 0.625 0.875
As 0.125 0.875 0.750
As 0.750 0.375 0.125
As 0.375 0.750 0.625
As 0.750 0.875 0.625
As 0.375 0.625 0.250
As 0.875 0.750 0.125
As 0.125 0.250 0.875
As 0.875 0.125 0.250

Properties
formation energy from raw total energies: 0.1994 eV/atom
total magnetization: 0.00 μB/f.u.
E_tot: -1.71 eV per atom

---

(2)
Here is a relaxed structure of Ca3CdGa2 from the Alexandria database. Energies are from PBE.

abc: 3.732 3.732 11.140
angles: 90.00 90.00 90.00
Fractional coordinates of all 6 atoms:
Cd 0.500 0.500 0.500
Ca 0.000 0.000 0.320
Ca 0.000 0.000 0.680
Ca 0.000 0.000 0.000
Ga 0.500 0.500 0.159
Ga 0.500 0.500 0.841

Properties
total magnetization: 0.00 μB/f.u.
E_tot: -2.58 eV per atom
relative energy among the computed polymorphs: 0.0 meV per atom
E_form: -0.4195 eV per atom

---

Question: What is the E_tot in the second record?
Answer: -2.58 eV per atom

---

Repeat the second record exactly.
Here is a relaxed structure of Ca3CdGa2 from the Alexandria database. Energies are from PBE.

abc: 3.732 3.732 11.140
angles: 90.00 90.00 90.00
Fractional coordinates of all 6 atoms:
Cd 0.500 0.500 0.500
Ca 0.000 0.000 0.320
Ca 0.000 0.000 0.680
Ca 0.000 0.000 0.000
Ga 0.500 0.500 0.159
Ga 0.500 0.500 0.841

Properties
total magnetization: 0.00 μB/f.u.
E_tot: -2.58 eV per atom
relative energy among the computed polymorphs: 0.0 meV per atom
E_form: -0.4195 eV per atom